# 1
DFT (GGA-PBE) results for RbBiF5 after structural relaxation.

abc: 6.6564 6.6564 8.9195
angles: 109.20 109.20 73.20
With the nearest neighbours (Å) after each atom.
Fractional positions:
1 Rb 0.0009 0.9991 0.7500  6 F 2.75-2.88
2 Rb 0.9991 0.0009 0.2500  6 F 2.75-2.88
3 Bi 0.5000 0.5000 0.0000  6 F 2.12-2.23
4 Bi 0.5000 0.5000 0.5000  6 F 2.12-2.23
5 F 0.2264 0.7668 0.9993  1 Bi 2.15
6 F 0.2332 0.7736 0.5007  1 Bi 2.15
7 F 0.2779 0.2871 0.3934  1 Bi 2.12
8 F 0.2871 0.2779 0.8934  1 Bi 2.12
9 F 0.4989 0.5011 0.7500  2 Bi 2.23
10 F 0.5011 0.4989 0.2500  2 Bi 2.23
11 F 0.7129 0.7221 0.1066  1 Bi 2.12
12 F 0.7221 0.7129 0.6066  1 Bi 2.12
13 F 0.7668 0.2264 0.4993  1 Bi 2.15
14 F 0.7736 0.2332 0.0007  1 Bi 2.15

Summary:
E_form (uncorrected), eV/atom: -2.34

=====

# 2
DFT (GGA-PBE) results for ErZrPb after structural relaxation.

abc: 5.2457 5.2457 3.3715
angles: 90.00 90.00 120.00
With the nearest neighbours (Å) after each atom.
Fractional positions:
1 Er 0.0000 0.0000 0.0000  2 Er 3.37, 6 Pb 3.45-3.48, 6 Zr 3.46-3.47
2 Zr 0.6667 0.3333 0.5021  3 Pb 3.03, 2 Zr 3.37
3 Pb 0.3333 0.6667 0.4912  3 Zr 3.03, 2 Pb 3.37

Summary:
Formation enthalpy at 0 K, meV/atom: -6

=====

# 3
DFT (GGA-PBE) results for InAsPt2 after structural relaxation.

abc: 9.2213 3.5343 4.6256
angles: 90.00 105.41 90.00
With the nearest neighbours (Å) after each atom.
Fractional positions:
1 In 0.0000 0.0000 0.0000  7 Pt 2.74-2.97
2 In 0.5000 0.5000 0.0000  7 Pt 2.74-2.97
3 As 0.2617 0.5000 0.3866  5 Pt 2.60-2.69
4 As 0.7617 0.0000 0.3866  5 Pt 2.60-2.69
5 Pt 0.2534 0.0000 0.7954  2 As 2.60, 3 In 2.74-2.84
6 Pt 0.4896 0.0000 0.4795  3 As 2.66-2.69, 4 In 2.86-2.97, 1 Pt 2.93
7 Pt 0.7534 0.5000 0.7954  2 As 2.60, 3 In 2.74-2.84
8 Pt 0.9896 0.5000 0.4795  3 As 2.66-2.69, 4 In 2.86-2.97, 1 Pt 2.93

Summary:
Formation enthalpy at 0 K, meV/atom: -231

=====

# 4
DFT (GGA-PBE) results for Pm2CdPb4 after structural relaxation.

abc: 7.1486 6.4186 9.7177
angles: 90.00 107.78 90.00
With the nearest neighbours (Å) after each atom.
Fractional positions:
1 Pm 0.1604 0.2500 0.0690  6 Pb 3.26-3.43
2 Pm 0.2265 0.2500 0.5072  7 Pb 3.28-3.62, 1 Cd 3.29
3 Pm 0.7735 0.7500 0.4928  7 Pb 3.28-3.62, 1 Cd 3.29
4 Pm 0.8396 0.7500 0.9310  6 Pb 3.26-3.43
5 Cd 0.3012 0.7500 0.3127  4 Pb 3.04-3.14, 1 Pm 3.29
6 Cd 0.6988 0.2500 0.6873  4 Pb 3.04-3.14, 1 Pm 3.29
7 Pb 0.0950 0.0009 0.7585  1 Cd 3.14, 4 Pb 3.20-3.42, 4 Pm 3.26-3.32
8 Pb 0.0950 0.4991 0.7585  1 Cd 3.14, 4 Pb 3.20-3.42, 4 Pm 3.26-3.32
9 Pb 0.4252 0.7500 0.0395  1 Cd 3.04
10 Pb 0.4297 0.7500 0.6519  1 Cd 3.14, 2 Pm 3.28-3.33, 2 Pb 3.30
11 Pb 0.5703 0.2500 0.3481  1 Cd 3.14, 2 Pm 3.28-3.33, 2 Pb 3.30
12 Pb 0.5748 0.2500 0.9605  1 Cd 3.04
13 Pb 0.9050 0.5009 0.2415  1 Cd 3.14, 4 Pb 3.20-3.42, 4 Pm 3.26-3.32
14 Pb 0.9050 0.9991 0.2415  1 Cd 3.14, 4 Pb 3.20-3.42, 4 Pm 3.26-3.32

Summary:
Formation enthalpy at 0 K, meV/atom: -250

=====

# 5
DFT (GGA-PBE) results for PuBF after structural relaxation.

abc: 3.5754 14.7961 3.1109
angles: 90.00 90.00 90.00
With the nearest neighbours (Å) after each atom.
Fractional positions:
1 Pu 0.0000 0.1211 0.2500  5 F 2.58-2.67, 6 B 2.68-2.86
2 Pu 0.0000 0.8789 0.7500  5 F 2.58-2.67, 6 B 2.68-2.86
3 Pu 0.5000 0.3789 0.7500  5 F 2.58-2.67, 6 B 2.68-2.86
4 Pu 0.5000 0.6211 0.2500  5 F 2.58-2.67, 6 B 2.68-2.86
5 B 0.0000 0.4865 0.2500  2 B 1.61
6 B 0.0000 0.5135 0.7500  2 B 1.61
7 B 0.5000 0.0135 0.7500  2 B 1.61
8 B 0.5000 0.9865 0.2500  2 B 1.61
9 F 0.0000 0.2955 0.2500  5 Pu 2.58-2.67, 4 F 2.73, 1 B 2.83
10 F 0.0000 0.7045 0.7500  5 Pu 2.58-2.67, 4 F 2.73, 1 B 2.83
11 F 0.5000 0.2045 0.7500  5 Pu 2.58-2.67, 4 F 2.73, 1 B 2.83
12 F 0.5000 0.7955 0.2500  5 Pu 2.58-2.67, 4 F 2.73, 1 B 2.83

Summary:
E_form (uncorrected), eV/atom: -1.61

=====

# 6
DFT (GGA-PBE) results for TlCoSbI2 after structural relaxation.

abc: 6.1721 6.1721 5.8078
angles: 90.00 90.00 90.00
With the nearest neighbours (Å) after each atom.
Fractional positions:
1 Tl 0.0000 0.0000 0.0000  2 Sb 2.90, 4 I 3.09
2 Co 0.5000 0.5000 0.5000  8 I 4.24, 4 Sb 4.36
3 Sb 0.0000 0.0000 0.5000  2 Tl 2.90
4 I 0.0000 0.5000 0.0000  2 Tl 3.09
5 I 0.5000 0.0000 0.0000  2 Tl 3.09

Summary:
E_form (uncorrected), eV/atom: 1.10

=====

# 7
DFT (GGA-PBE) results for BaReTc3 after structural relaxation.

abc: 4.8572 4.8572 4.8572
angles: 90.00 90.00 90.00
With the nearest neighbours (Å) after each atom.
Fractional positions:
1 Ba 0.0000 0.0000 0.0000  12 Tc 3.43
2 Re 0.5000 0.5000 0.5000  6 Tc 2.43
3 Tc 0.0000 0.5000 0.5000  2 Re 2.43
4 Tc 0.5000 0.0000 0.5000  2 Re 2.43
5 Tc 0.5000 0.5000 0.0000  2 Re 2.43

Summary:
Formation enthalpy at 0 K, meV/atom: 1231

=====

# 8
DFT (GGA-PBE) results for Pm3Ni2Ge3 after structural relaxation.

abc: 5.7192 5.7192 14.4665
angles: 90.00 90.00 136.04
With the nearest neighbours (Å) after each atom.
Fractional positions:
1 Pm 0.0886 0.9114 0.6085  7 Ge 3.04-3.29, 4 Ni 3.08-3.23
2 Pm 0.0886 0.9114 0.8915  7 Ge 3.04-3.29, 4 Ni 3.08-3.23
3 Pm 0.3700 0.6300 0.7500  5 Ge 3.01-3.19, 4 Ni 3.16
4 Pm 0.6300 0.3700 0.2500  5 Ge 3.01-3.19, 4 Ni 3.16
5 Pm 0.9114 0.0886 0.1085  7 Ge 3.04-3.29, 4 Ni 3.08-3.23
6 Pm 0.9114 0.0886 0.3915  7 Ge 3.04-3.29, 4 Ni 3.08-3.23
7 Ni 0.2024 0.7976 0.0986  4 Ge 2.45-2.69
8 Ni 0.2024 0.7976 0.4014  4 Ge 2.45-2.69
9 Ni 0.7976 0.2024 0.5986  4 Ge 2.45-2.69
10 Ni 0.7976 0.2024 0.9014  4 Ge 2.45-2.69
11 Ge 0.3292 0.6708 0.2500  2 Ni 2.57
12 Ge 0.3736 0.6264 0.5384  3 Ni 2.45-2.69
13 Ge 0.3736 0.6264 0.9616  3 Ni 2.45-2.69
14 Ge 0.6264 0.3736 0.0384  3 Ni 2.45-2.69
15 Ge 0.6264 0.3736 0.4616  3 Ni 2.45-2.69
16 Ge 0.6708 0.3292 0.7500  2 Ni 2.57

Summary:
Formation enthalpy at 0 K, meV/atom: -761

=====

no.,E_tot (eV per atom),density of states at the Fermi level (states/eV/cell),V (Å³/atom)
1,-4.37,4.40,24.65
2,-5.61,4.63,26.78
3,-5.10,3.62,18.17
4,-3.86,7.00,30.33
5,-9.23,28.09,13.71
6,-2.24,9.18,44.25
7,-7.86,6.45,22.92
8,-5.72,7.40,20.53